(1)
Material: RbNa2S2
Method: DFT, PBE-GGA
State: relaxed

The structure in POSCAR format:
```
RbNa2S2
1.0
8.6294 0.0000 0.0000
0.0000 8.6294 0.0000
0.0000 0.0000 3.2954
Rb Na S
2 4 4
Cartesian
0.0000 0.0000 0.0000
4.3147 4.3147 0.0000
1.0825 3.2322 1.6477
3.2322 7.5469 1.6477
5.3972 1.0825 1.6477
7.5469 5.3972 1.6477
1.4327 5.7475 0.0000
2.8820 1.4327 0.0000
5.7475 7.1967 0.0000
7.1967 2.8820 0.0000
```

Properties
As for the total energy: -3.1369 eV per atom. The value obtained for the uncorrected formation energy is -0.76 eV/atom. The calculation puts the offset from the most stable computed form at 46.3 meV/atom. The crystal system is tetragonal.


(2)
Material: RbNa2S8
Method: DFT, PBE-GGA
State: relaxed

The structure in POSCAR format:
```
RbNa2S8
1.0
-3.0782 3.3304 8.1123
3.0782 -3.3304 8.1123
3.0782 3.3304 -8.1123
Rb Na S
1 2 8
Cartesian
0.0000 0.0000 0.0000
0.0000 0.0000 5.4208
0.0000 0.0000 10.8038
3.0782 -1.6843 5.0898
3.0782 0.0000 4.0282
3.0782 2.3158 0.0000
0.0000 1.6462 3.0226
3.0782 1.6843 5.0898
0.0000 1.0146 8.1123
0.0000 3.3304 4.0842
0.0000 5.0147 3.0226
```

Properties
As for the total energy: -3.6773 eV per atom. The value obtained for the uncorrected formation energy is -0.35 eV/atom. The crystal system is orthorhombic.


(3)
Material: RbNa2S2
Method: DFT, PBE-GGA
State: relaxed

The structure in POSCAR format:
```
RbNa2S2
1.0
4.7091 0.0000 0.0000
0.0000 4.7091 0.0000
0.0000 0.0000 12.0084
Rb Na S
2 4 4
Cartesian
0.0000 0.0000 0.0000
2.3546 2.3546 6.0042
0.0000 2.3546 3.0021
0.0000 2.3546 9.0063
2.3546 0.0000 3.0021
2.3546 0.0000 9.0063
0.0000 0.0000 4.5099
0.0000 0.0000 7.4985
2.3546 2.3546 1.4943
2.3546 2.3546 10.5141
```

Properties
As for the total energy: -3.1832 eV per atom. The value obtained for the uncorrected formation energy is -0.81 eV/atom. The calculation puts the offset from the most stable computed form at 0.0 meV/atom. The crystal system is tetragonal.